No. 1
! CaMgSbTe2 (meta-GGA SCAN, single point on PBEsol structure); values from VASP
! ΔE_f (raw), meV per atom: 65
! Uncorrected energy, eV/atom: -25.215
&SYSTEM
  ibrav = 0, nat = 5, ntyp = 4
/
ATOMIC_SPECIES
Ca 40.08 Ca.upf
Mg 24.30 Mg.upf
Sb 121.76 Sb.upf
Te 127.60 Te.upf
ATOMIC_POSITIONS crystal
Ca 0.000 0.000 0.000
Mg 0.500 0.500 0.000
Sb 0.000 0.000 0.500
Te 0.000 0.500 0.500
Te 0.500 0.000 0.500
CELL_PARAMETERS angstrom
5.804 0.000 0.000
0.000 5.804 0.000
0.000 0.000 5.692

=====

No. 2
! AcAg (meta-GGA SCAN, single point on PBEsol structure); values from VASP
! Uncorrected energy, eV/atom: -61.214
! Formation energy from the elements, eV per atom: -0.293
&SYSTEM
  ibrav = 0, nat = 2, ntyp = 2
/
ATOMIC_SPECIES
Ac 227.00 Ac.upf
Ag 107.87 Ag.upf
ATOMIC_POSITIONS crystal
Ac 0.000 0.000 0.000
Ag 0.500 0.500 0.500
CELL_PARAMETERS angstrom
3.884 0.000 0.000
0.000 3.884 0.000
0.000 0.000 3.884

=====

No. 3
! Sr2Mo2Se (meta-GGA SCAN, single point on PBEsol structure); values from VASP
! ΔE_f (raw), meV per atom: -248
! Uncorrected energy, eV/atom: -27.128
&SYSTEM
  ibrav = 0, nat = 5, ntyp = 3
/
ATOMIC_SPECIES
Sr 87.62 Sr.upf
Mo 95.94 Mo.upf
Se 78.96 Se.upf
ATOMIC_POSITIONS crystal
Sr 0.096 0.096 0.000
Sr 0.904 0.904 0.000
Mo 0.250 0.750 0.500
Mo 0.750 0.250 0.500
Se 0.500 0.500 0.000
CELL_PARAMETERS angstrom
-1.802 1.802 9.559
1.802 -1.802 9.559
1.802 1.802 -9.559

=====

No. 4
! CuSb2Te (meta-GGA SCAN, single point on PBEsol structure); values from VASP
! ΔE_f (raw), meV per atom: 484
! Uncorrected energy, eV/atom: -31.259
&SYSTEM
  ibrav = 0, nat = 4, ntyp = 3
/
ATOMIC_SPECIES
Cu 63.55 Cu.upf
Sb 121.76 Sb.upf
Te 127.60 Te.upf
ATOMIC_POSITIONS crystal
Cu 0.000 0.000 0.000
Sb 0.000 0.500 0.500
Sb 0.500 0.000 0.500
Te 0.500 0.500 0.000
CELL_PARAMETERS angstrom
4.264 0.000 0.000
0.000 4.264 0.000
0.000 0.000 5.181

=====

No. 5
! SrSbCl (meta-GGA SCAN, single point on PBEsol structure); values from VASP
! ΔE_f (raw), meV per atom: -567
! Uncorrected energy, eV/atom: -23.072
! Energy above the most stable polymorph in this dataset, meV/atom: 285
&SYSTEM
  ibrav = 0, nat = 3, ntyp = 3
/
ATOMIC_SPECIES
Sr 87.62 Sr.upf
Sb 121.76 Sb.upf
Cl 35.45 Cl.upf
ATOMIC_POSITIONS crystal
Sr 0.000 0.000 0.000
Sb 0.750 0.750 0.750
Cl 0.500 0.500 0.500
CELL_PARAMETERS angstrom
0.000 3.800 3.800
3.800 0.000 3.800
3.800 3.800 0.000

=====

No. 6
! BaTaPt3 (meta-GGA SCAN, single point on PBEsol structure); values from VASP
! Uncorrected energy, eV/atom: -63.595
! Formation energy from the elements, eV per atom: -0.253
&SYSTEM
  ibrav = 0, nat = 5, ntyp = 3
/
ATOMIC_SPECIES
Ba 137.33 Ba.upf
Ta 180.95 Ta.upf
Pt 195.08 Pt.upf
ATOMIC_POSITIONS crystal
Ba 0.000 0.000 0.000
Ta 0.500 0.500 0.500
Pt 0.000 0.500 0.500
Pt 0.500 0.000 0.500
Pt 0.500 0.500 0.000
CELL_PARAMETERS angstrom
4.954 0.000 0.000
0.000 4.954 0.000
0.000 0.000 4.954